Compound: ErHfSc
Source: the Alexandria database
Functional: PBE
Structure: relaxed

```
3
Lattice="3.2765 0.0000 0.0000 0.0000 3.2765 0.0000 -1.6383 -1.6383 7.0958" Properties=species:S:1:pos:R:3 pbc="T T T"
Sc 1.6383 1.6383 2.5320
Hf 0.0000 0.0000 4.6671
Er 1.6383 1.6383 6.9925
```

Summary:
The symmetry is I4mm. The value obtained for the density is 8.52 Mg/m³. The calculation puts the total energy at -6.8640 eV per atom. The calculation puts the formation energy at 85 meV/atom.

***

Compound: ErHf2Sc
Source: the Alexandria database
Functional: PBE
Structure: relaxed

```
4
Lattice="4.6414 0.0000 0.0000 0.0000 4.5651 0.0000 0.0000 0.0000 4.5651" Properties=species:S:1:pos:R:3 pbc="T T T"
Sc 2.3207 2.2825 2.2825
Hf 0.0000 0.0000 2.2825
Hf 0.0000 2.2825 0.0000
Er 2.3207 0.0000 0.0000
```

Summary:
The symmetry is P4/mmm. The value obtained for the density is 9.77 Mg/m³. The calculation puts the total energy at -7.5715 eV per atom. The calculation puts the formation energy at 129 meV/atom.

***

Compound: ErHfSc6
Source: the Alexandria database
Functional: PBE
Structure: relaxed

```
8
Lattice="5.1663 0.0000 0.0000 0.0000 6.6497 -0.2154 0.0000 -3.1373 5.8671" Properties=species:S:1:pos:R:3 pbc="T T T"
Er 0.0000 -2.3194 5.3588
Hf 2.5832 0.9379 3.3344
Sc 0.0000 -0.7164 2.4444
Sc 0.0000 1.0035 5.2118
Sc 0.0000 2.5389 2.3394
Sc 2.5832 2.5333 0.4151
Sc 2.5832 4.2619 3.1964
Sc 2.5832 5.8072 0.3082
```

Summary:
The symmetry is Amm2. The value obtained for the density is 5.16 Mg/m³. The calculation puts the total energy at -6.5364 eV per atom. The calculation puts the formation energy at 27 meV/atom.

***

Compound: SmErHfSc
Source: the Alexandria database
Functional: PBE
Structure: relaxed

```
4
Lattice="-4.2995 3.1792 0.1871 -4.7915 -1.8925 -1.4451 -3.7775 -0.8239 3.6986" Properties=species:S:1:pos:R:3 pbc="T T T"
Sc 0.0000 0.0000 0.0000
Hf -9.6514 0.3472 1.8305
Sm -3.2171 0.1157 0.6102
Er -6.4342 0.2314 1.2203
```

Summary:
The symmetry is F-43m. The value obtained for the density is 8.30 Mg/m³. The calculation puts the total energy at -6.1366 eV per atom. The calculation puts the formation energy at 255 meV/atom.

***

Compound: ErHfSe4
Source: the Alexandria database
Functional: PBE
Structure: relaxed

```
6
Lattice="3.9788 0.0000 0.0000 0.0000 6.5340 0.0317 0.0000 -0.0964 6.5334" Properties=species:S:1:pos:R:3 pbc="T T T"
Er 1.9894 0.0000 0.0000
Hf 0.0000 3.2188 3.2825
Se 0.0000 1.3665 1.3936
Se 0.0000 5.0711 5.1715
Se 1.9894 4.4965 2.0296
Se 1.9894 1.9411 4.5354
```

Summary:
The symmetry is Cmmm. The value obtained for the density is 6.47 Mg/m³. The uncorrected formation energy is -7.45 eV/f.u. The calculation puts the total energy at -5.9849 eV per atom.

***

Compound: ErHfSe2
Source: the Alexandria database
Functional: PBE
Structure: relaxed

```
4
Lattice="-0.1167 -2.0499 3.0839 2.6110 -2.5524 0.6276 5.7713 4.5611 5.4756" Properties=species:S:1:pos:R:3 pbc="T T T"
Hf 4.1328 -0.0206 4.5935
Se 4.2071 2.6311 4.1335
Se 4.0585 -2.6723 5.0535
Er 0.0000 0.0000 0.0000
```

Summary:
The symmetry is R-3m. The value obtained for the density is 7.89 Mg/m³. The uncorrected formation energy is -4.02 eV/f.u. The calculation puts the total energy at -6.3759 eV per atom.

***

Compound: ErHfSe
Source: the Alexandria database
Functional: PBE
Structure: relaxed

```
6
Lattice="-0.5472 4.4185 -2.8338 -2.4639 -1.5300 -1.9098 -3.9982 1.1138 7.4231" Properties=species:S:1:pos:R:3 pbc="T T T"
Er -2.0743 3.0462 0.2358
Er -4.9350 0.9561 2.4438
Hf -1.6413 2.5405 -3.0748
Hf -1.3698 0.3481 -1.6687
Se -2.9832 0.0490 0.6524
Se -4.0261 3.9534 2.0272
```

Summary:
The symmetry is Immm. The value obtained for the density is 9.75 Mg/m³. The uncorrected formation energy is -1.73 eV/f.u. The calculation puts the total energy at -6.5784 eV per atom.

***

Compound: Er2HfSe5
Source: the Alexandria database
Functional: PBE
Structure: relaxed

```
16
Lattice="5.4537 0.0000 0.0000 -2.7268 6.7299 0.0000 0.0000 0.0000 13.2209" Properties=species:S:1:pos:R:3 pbc="T T T"
Er 2.7268 4.7264 5.8260
Er 2.7268 4.7264 0.7844
Er 0.0000 2.0035 7.3949
Er 0.0000 2.0035 12.4365
Hf 2.7268 4.1352 9.9157
Hf 0.0000 2.5947 3.3052
Se 2.7268 6.0891 11.5977
Se 2.7268 6.0891 8.2337
Se 0.0000 4.2383 5.5138
Se 0.0000 4.2383 1.0966
Se 2.7268 3.1907 3.3052
Se 0.0000 3.5392 9.9157
Se 2.7268 2.4916 7.7071
Se 2.7268 2.4916 12.1243
Se 0.0000 0.6408 1.6232
Se 0.0000 0.6408 4.9872
```

Summary:
The symmetry is Cmcm. The value obtained for the density is 6.21 Mg/m³. The uncorrected formation energy is -12.64 eV/f.u. The calculation puts the total energy at -6.1424 eV per atom.

***

Compound: ErHfSe2
Source: the Alexandria database
Functional: PBE
Structure: relaxed

```
4
Lattice="-0.2649 2.4442 -2.6994 0.6948 -0.9994 -3.4423 -6.9902 -1.3079 -2.9675" Properties=species:S:1:pos:R:3 pbc="T T T"
Er 0.2734 0.9599 -4.0962
Hf -3.2811 0.0682 -4.5548
Se -5.0938 -0.8322 -2.7229
Se -1.7391 0.0094 -2.2901
```

Summary:
The symmetry is R3m. The value obtained for the density is 9.77 Mg/m³. The uncorrected formation energy is -5.21 eV/f.u. The calculation puts the total energy at -6.6745 eV per atom.

***

Compound: Er3HfTl3Se8
Source: the Alexandria database
Functional: PBE
Structure: relaxed

```
15
Lattice="-6.2025 5.2498 -0.1953 -0.9294 -7.2591 3.5351 5.0491 6.1358 4.5805" Properties=species:S:1:pos:R:3 pbc="T T T"
Er -0.5767 5.6928 2.1926
Er -1.0414 2.0632 3.9601
Er 2.0598 -0.5617 4.0578
Hf 2.5246 3.0679 2.2902
Tl 0.0000 0.0000 0.0000
Tl -0.4647 -3.6296 1.7675
Tl -3.5660 -1.0047 1.6699
Se -0.6413 -0.6391 3.1876
Se -1.4415 4.7655 4.7326
Se -3.7891 1.9344 3.1867
Se 1.7063 2.1920 4.7335
Se -3.3031 5.7309 1.3381
Se 1.2203 -1.6045 6.5821
Se -0.0591 2.9852 1.4403
Se -2.0237 1.1412 6.4800
```

Summary:
The symmetry is R-3m. The value obtained for the density is 7.09 Mg/m³. The uncorrected formation energy is -20.62 eV/f.u. The calculation puts the total energy at -5.2822 eV per atom.

***

Compound: Er2HfTl3Se6
Source: the Alexandria database
Functional: PBE
Structure: relaxed

```
12
Lattice="-4.9820 -2.7131 3.9578 3.4077 -3.9944 -4.5031 6.1575 0.5065 6.0290" Properties=species:S:1:pos:R:3 pbc="T T T"
Er 0.6106 -3.5672 -1.6822
Er -2.1848 -3.1403 1.1369
Hf 0.0000 0.0000 0.0000
Tl 5.0825 -3.5267 -0.0727
Tl -0.4993 -2.6742 5.5565
Tl 2.2916 -3.1005 2.7419
Se 2.4318 -4.5917 5.8037
Se 0.0004 -4.9165 0.7449
Se 2.1515 -1.6092 -0.3200
Se 5.0979 -4.9989 3.1149
Se 4.5829 -1.2845 4.7388
Se -0.5147 -1.2020 2.3688
```

Summary:
The symmetry is C2/m. The value obtained for the density is 7.73 Mg/m³. The uncorrected formation energy is -14.49 eV/f.u. The calculation puts the total energy at -5.1314 eV per atom.

***

Compound: Er3HfSi6
Source: the Alexandria database
Functional: PBE
Structure: relaxed

```
20
Lattice="-1.4915 -7.1073 1.0479 4.2736 -0.8058 -5.9096 5.3724 0.5670 4.9652" Properties=species:S:1:pos:R:3 pbc="T T T"
Er 4.6210 -1.7412 -2.6747
Er 4.3505 -1.9620 2.9601
Er 6.9330 -1.8668 0.2596
Er 1.2215 -5.4793 -0.1561
Er 3.8040 -5.3841 -2.8566
Er 3.5335 -5.6049 2.7781
Hf 0.0000 0.0000 0.0000
Hf 4.0772 -3.6730 0.0517
Si 6.6032 -6.4131 2.1446
Si 2.3739 0.0278 1.3443
Si 4.1666 -0.9470 0.1133
Si -0.0075 -2.6241 0.7466
Si 2.1319 -3.2328 -1.8097
Si 6.1385 -4.0356 -1.6984
Si 2.0160 -3.3105 1.8019
Si 6.0226 -4.1133 1.9131
Si 8.1620 -4.7220 -0.6431
Si 3.9878 -6.3991 -0.0098
Si 5.7806 -7.3739 -1.2408
Si 1.5513 -0.9330 -2.0412
```

Summary:
The symmetry is R-3c. The value obtained for the density is 7.33 Mg/m³. The uncorrected formation energy is -6.06 eV/f.u. The calculation puts the total energy at -6.2237 eV per atom.